No. 1
Computed, not measured: a relaxed structure of Na2Ag3O2 at the GGA-PBE level of DFT.

a = 3.1936 Å, b = 5.1826 Å, c = 7.4562 Å
α = 105.11°, β = 90.00°, γ = 107.95°
Closest atoms and distances in Å follow each position.
Fractional positions:
Na: 0.8231 0.6463 0.1907  2 O 2.33
Na: 0.1769 0.3537 0.8093  2 O 2.33
Ag: 0.5000 0.0000 0.0000  4 O 2.23
Ag: 0.6162 0.2325 0.4204  2 O 2.65, 1 Ag 2.86
Ag: 0.3838 0.7675 0.5796  2 O 2.65, 1 Ag 2.86
O: 0.8545 0.7090 0.8499  2 Ag 2.23, 2 Na 2.33
O: 0.1455 0.2910 0.1501  2 Ag 2.23, 2 Na 2.33

The calculation puts the formation energy (no corrections) at -365 meV/atom. As for the density of states at the Fermi level: 3.020 states/eV/cell.

=====

No. 2
Computed, not measured: a relaxed structure of NdZn2Cd2Au2 at the GGA-PBE level of DFT.

a = 4.5954 Å, b = 4.5954 Å, c = 8.5999 Å
α = 74.50°, β = 74.50°, γ = 60.00°
Closest atoms and distances in Å follow each position.
Fractional positions:
Nd: 0.0000 0.0000 0.0000  6 Zn 3.21, 6 Au 3.24, 2 Cd 3.33
Zn: 0.5929 0.5929 0.2212  3 Au 2.65
Zn: 0.4071 0.4071 0.7788  3 Au 2.65
Cd: 0.1358 0.1358 0.5925  4 Au 2.99-3.04, 3 Cd 3.05, 3 Zn 3.06, 1 Nd 3.33
Cd: 0.8642 0.8642 0.4075  4 Au 2.99-3.04, 3 Cd 3.05, 3 Zn 3.06, 1 Nd 3.33
Au: 0.7424 0.7424 0.7727  3 Zn 2.65
Au: 0.2576 0.2576 0.2273  3 Zn 2.65

Its energy of formation from the pure elements is -0.39 eV per atom. As for the density of states at the Fermi level: 3.502 states/eV/cell.

=====

No. 3
Computed, not measured: a relaxed structure of Pa6Tc3Ru at the GGA-PBE level of DFT.

a = 7.9158 Å, b = 7.9158 Å, c = 7.9158 Å
α = 97.49°, β = 97.49°, γ = 97.49°
Closest atoms and distances in Å follow each position.
Fractional positions:
Pa: 0.3424 0.9838 0.0593  1 Ru 2.71, 2 Tc 2.74-3.03, 1 Pa 2.77
Pa: 0.0162 0.9407 0.6576  1 Ru 2.71, 2 Tc 2.74-3.03, 1 Pa 2.77
Pa: 0.5970 0.8261 0.4272  1 Tc 2.50, 1 Ru 2.75
Pa: 0.9407 0.6576 0.0162  1 Ru 2.71, 2 Tc 2.74-3.03, 1 Pa 2.77
Pa: 0.4272 0.5970 0.8261  1 Tc 2.50, 1 Ru 2.75
Pa: 0.1739 0.5728 0.4030  1 Tc 2.50, 1 Ru 2.75
Pa: 0.8261 0.4272 0.5970  1 Tc 2.50, 1 Ru 2.75
Pa: 0.5728 0.4030 0.1739  1 Tc 2.50, 1 Ru 2.75
Pa: 0.0593 0.3424 0.9838  1 Ru 2.71, 2 Tc 2.74-3.03, 1 Pa 2.77
Pa: 0.4030 0.1739 0.5728  1 Tc 2.50, 1 Ru 2.75
Pa: 0.9838 0.0593 0.3424  1 Ru 2.71, 2 Tc 2.74-3.03, 1 Pa 2.77
Pa: 0.6576 0.0162 0.9407  1 Ru 2.71, 2 Tc 2.74-3.03, 1 Pa 2.77
Tc: 0.3510 0.8824 0.6636  2 Pa 2.50-2.74
Tc: 0.8824 0.6636 0.3510  2 Pa 2.50-2.74
Tc: 0.3364 0.6490 0.1176  2 Pa 2.50-2.74
Tc: 0.6636 0.3510 0.8824  2 Pa 2.50-2.74
Tc: 0.1176 0.3364 0.6490  2 Pa 2.50-2.74
Tc: 0.6490 0.1176 0.3364  2 Pa 2.50-2.74
Ru: 0.0000 0.0000 0.0000  6 Pa 2.71
Ru: 0.5000 0.5000 0.5000  6 Pa 2.75

Its energy of formation from the pure elements is 0.00 eV per atom. As for the density of states at the Fermi level: 30.377 states/eV/cell.

=====

Number 2 is which compound? NdZn2Cd2Au2

=====

Number 3 is which compound? Pa6Tc3Ru